1.
## LiMg5In2Rh2 (GGA-PBE)

Data for a relaxed structure of LiMg5In2Rh2.

Lattice parameters (Å, degrees): 4.263 9.556 9.556 90.00 90.00 90.00
Element x y z (fractional)
Mg: 0.500 0.079 0.793
Mg: 0.500 0.000 0.500
Mg: 0.500 0.421 0.293
Mg: 0.500 0.921 0.207
Mg: 0.500 0.793 0.921
Mg: 0.500 0.207 0.079
Mg: 0.500 0.500 0.000
Mg: 0.500 0.707 0.421
Mg: 0.500 0.579 0.707
Mg: 0.500 0.293 0.579
In: 0.000 0.672 0.172
In: 0.000 0.828 0.672
In: 0.000 0.172 0.328
In: 0.000 0.328 0.828
Rh: 0.000 0.878 0.378
Rh: 0.000 0.122 0.622
Rh: 0.000 0.622 0.878
Rh: 0.000 0.378 0.122
Li: 0.000 0.000 0.000
Li: 0.000 0.500 0.500

## Properties
As for the electronic total energy: -66.5 eV/cell. Its symmetry is P4/mbm, No. 127. The calculation puts the magnetic moment at 0.00 μB per cell. The value obtained for the formation enthalpy at 0 K is -0.319 eV per atom.

2.
## HoEr3Hg12 (GGA-PBE)

Data for a relaxed structure of HoEr3Hg12.

Lattice parameters (Å, degrees): 4.455 4.455 19.545 90.00 90.00 90.00
Element x y z (fractional)
Hg: 0.500 0.000 0.625
Hg: 0.000 0.500 0.125
Hg: 0.500 0.500 0.500
Hg: 0.500 0.500 0.000
Hg: 0.500 0.000 0.375
Hg: 0.000 0.500 0.375
Hg: 0.000 0.500 0.625
Hg: 0.500 0.500 0.750
Hg: 0.500 0.000 0.125
Hg: 0.500 0.500 0.250
Hg: 0.000 0.500 0.875
Hg: 0.500 0.000 0.875
Er: 0.000 0.000 0.500
Er: 0.000 0.000 0.750
Er: 0.000 0.000 0.250
Ho: 0.000 0.000 0.000

## Properties
As for the electronic total energy: -26.5 eV/cell. Its symmetry is P4/mmm, No. 123. The calculation puts the magnetic moment at 0.00 μB per cell. The value obtained for the formation enthalpy at 0 K is -0.288 eV per atom.

3.
## LaHI2O (GGA-PBE)

Data for a relaxed structure of LaHI2O.

Lattice parameters (Å, degrees): 6.732 6.732 4.253 90.00 90.00 90.00
Element x y z (fractional)
H: 0.500 0.500 0.500
O: 0.000 0.000 0.500
I: 0.500 0.000 0.000
I: 0.000 0.500 0.000
La: 0.000 0.000 0.000

## Properties
The energy above the most stable polymorph in this dataset is 0.000 eV per atom. As for the electronic total energy: -20.5 eV/cell. Its symmetry is P4/mmm, No. 123. The calculation puts the magnetic moment at 1.76 μB per cell.

4.
## Cr4CdSb (GGA-PBE)

Data for a relaxed structure of Cr4CdSb.

Lattice parameters (Å, degrees): 4.996 4.996 4.996 60.00 60.00 60.00
Element x y z (fractional)
Cr: 0.373 0.373 0.373
Cr: 0.373 0.881 0.373
Cr: 0.881 0.373 0.373
Cr: 0.373 0.373 0.881
Cd: 0.000 0.000 0.000
Sb: 0.750 0.750 0.750

## Properties
As for the electronic total energy: -40.6 eV/cell. Its symmetry is F-43m, No. 216. The calculation puts the magnetic moment at 0.00 μB per cell. The uncorrected formation energy is 0.4861 eV per atom.